(A)
# ZrCrFe2

A relaxed ZrCrFe2 crystal (PBE-GGA, the Alexandria database).

Output
- density (g/cm³) = 7.592
- Fermi-level density of states (states/eV per cell) = 5.36
- volume (Å³ per cell) = 55.8

Unit cell a=3.795 b=2.722 c=5.572 alpha=75.56 beta=90.00 gamma=90.00
Site moments in Bohr magnetons follow the coordinates.
Atoms (fractional coordinates):
Fe: 0.000 0.981 0.950  1.53
Fe: 0.000 0.519 0.550  1.53
Cr: 0.500 0.750 0.750  -0.38
Zr: 0.500 0.250 0.250  -0.18

---

(B)
# ZrCrFe2

A relaxed ZrCrFe2 crystal (PBE-GGA, the Alexandria database).

Output
- density (g/cm³) = 7.714
- Fermi-level density of states (states/eV per cell) = 7.93
- volume (Å³ per cell) = 54.9

Unit cell a=4.252 b=4.252 c=3.035 alpha=90.00 beta=90.00 gamma=89.99
Site moments in Bohr magnetons follow the coordinates.
Atoms (fractional coordinates):
Fe: 0.500 0.500 0.000  0.18
Fe: 0.000 0.000 0.000  0.18
Zr: 0.500 0.000 0.500  -0.10
Cr: 0.000 0.500 0.500  2.03

---

(C)
# ZrCrFe2

A relaxed ZrCrFe2 crystal (PBE-GGA, the Alexandria database).

Output
- density (g/cm³) = 7.530
- Fermi-level density of states (states/eV per cell) = 1.32
- volume (Å³ per cell) = 56.2

Unit cell a=4.300 b=4.300 c=4.300 alpha=60.00 beta=60.00 gamma=60.00
Site moments in Bohr magnetons follow the coordinates.
Atoms (fractional coordinates):
Fe: 0.250 0.250 0.250  2.46
Fe: 0.000 0.000 0.000  1.61
Cr: 0.500 0.500 0.500  -2.00
Zr: 0.750 0.750 0.750  -0.12

---

(D)
# ZrCrFe2

A relaxed ZrCrFe2 crystal (PBE-GGA, the Alexandria database).

Output
- density (g/cm³) = 7.263
- Fermi-level density of states (states/eV per cell) = 4.40
- volume (Å³ per cell) = 58.3

Unit cell a=8.830 b=8.830 c=8.830 alpha=18.14 beta=18.14 gamma=18.14
Site moments in Bohr magnetons follow the coordinates.
Atoms (fractional coordinates):
Zr: 0.501 0.501 0.501  -0.07
Fe: 0.260 0.260 0.260  2.55
Fe: 0.001 0.001 0.001  2.20
Cr: 0.738 0.738 0.738  -1.13

---

Stability verdict: (C), ahead by 51 meV/atom

---

(A)
# ZrCrFe2

A relaxed ZrCrFe2 crystal (PBE-GGA, the Alexandria database).

Output
- density (g/cm³) = 6.810
- Fermi-level density of states (states/eV per cell) = 7.50
- volume (Å³ per cell) = 124.3

Unit cell a=3.671 b=3.671 c=9.584 alpha=78.96 beta=78.96 gamma=90.00
Site moments in Bohr magnetons follow the coordinates.
Atoms (fractional coordinates):
Zr: 0.750 0.250 0.500  -0.24
Zr: 0.000 0.000 0.000  -0.24
Cr: 0.500 0.500 0.000  1.92
Cr: 0.250 0.750 0.500  1.91
Fe: 0.597 0.125 0.250  2.29
Fe: 0.153 0.625 0.250  2.29
Fe: 0.875 0.847 0.750  2.30
Fe: 0.375 0.403 0.750  2.30

---

(B)
# ZrCrFe2

A relaxed ZrCrFe2 crystal (PBE-GGA, the Alexandria database).

Output
- density (g/cm³) = 7.360
- Fermi-level density of states (states/eV per cell) = 5.22
- volume (Å³ per cell) = 57.5

Unit cell a=8.482 b=8.482 c=8.482 alpha=19.17 beta=19.17 gamma=19.17
Site moments in Bohr magnetons follow the coordinates.
Atoms (fractional coordinates):
Fe: 0.012 0.012 0.012  1.97
Fe: 0.488 0.488 0.488  1.97
Cr: 0.750 0.750 0.750  -1.10
Zr: 0.250 0.250 0.250  -0.06

---

Stability verdict: (B), ahead by 238 meV/atom

---

(A)
# ZrCrFe2

A relaxed ZrCrFe2 crystal (PBE-GGA, the Alexandria database).

Output
- density (g/cm³) = 7.426
- Fermi-level density of states (states/eV per cell) = 2.67
- volume (Å³ per cell) = 57.0

Unit cell a=3.026 b=3.026 c=6.224 alpha=90.00 beta=90.00 gamma=90.00
Site moments in Bohr magnetons follow the coordinates.
Atoms (fractional coordinates):
Cr: 0.500 0.500 0.793  -1.34
Fe: 0.000 0.000 0.998  2.27
Fe: 0.500 0.500 0.215  2.13
Zr: 0.000 0.000 0.494  -0.08

---

(B)
# ZrCrFe2

A relaxed ZrCrFe2 crystal (PBE-GGA, the Alexandria database).

Output
- density (g/cm³) = 7.768
- Fermi-level density of states (states/eV per cell) = 4.27
- volume (Å³ per cell) = 54.5

Unit cell a=4.255 b=4.255 c=4.255 alpha=60.00 beta=60.00 gamma=60.00
Site moments in Bohr magnetons follow the coordinates.
Atoms (fractional coordinates):
Fe: 0.750 0.750 0.750  1.12
Fe: 0.250 0.250 0.250  1.12
Cr: 0.000 0.000 0.000  0.39
Zr: 0.500 0.500 0.500  -0.29

---

(C)
# ZrCrFe2

A relaxed ZrCrFe2 crystal (PBE-GGA, the Alexandria database).

Output
- density (g/cm³) = 7.506
- Fermi-level density of states (states/eV per cell) = 4.86
- volume (Å³ per cell) = 56.4

Unit cell a=5.043 b=5.043 c=4.309 alpha=64.63 beta=64.63 gamma=35.17
Site moments in Bohr magnetons follow the coordinates.
Atoms (fractional coordinates):
Zr: 0.498 0.498 0.502  -0.23
Fe: 0.264 0.264 0.237  2.31
Fe: 0.004 0.004 0.996  1.58
Cr: 0.734 0.734 0.765  -0.78

---

Stability verdict: (A), ahead by 56 meV/atom

---

(A)
# ZrCr3Fe

A relaxed ZrCr3Fe crystal (PBE-GGA, the Alexandria database).

Output
- density (g/cm³) = 4.998
- Fermi-level density of states (states/eV per cell) = 16.76
- volume (Å³ per cell) = 100.7

Unit cell a=4.652 b=4.652 c=4.652 alpha=90.00 beta=90.00 gamma=90.00
Site moments in Bohr magnetons follow the coordinates.
Atoms (fractional coordinates):
Cr: 0.500 0.000 0.000  3.29
Cr: 0.000 0.500 0.000  2.93
Cr: 0.000 0.000 0.500  2.49
Fe: 0.500 0.500 0.500  0.49
Zr: 0.000 0.000 0.000  -0.24

---

(B)
# ZrCr3Fe

A relaxed ZrCr3Fe crystal (PBE-GGA, the Alexandria database).

Output
- density (g/cm³) = 6.459
- Fermi-level density of states (states/eV per cell) = 7.17
- volume (Å³ per cell) = 77.9

Unit cell a=4.271 b=4.271 c=4.271 alpha=90.00 beta=90.00 gamma=90.00
Site moments in Bohr magnetons follow the coordinates.
Atoms (fractional coordinates):
Zr: 0.500 0.500 0.500  -0.16
Cr: 0.000 0.000 0.500  1.29
Cr: 0.500 0.000 0.000  1.10
Cr: 0.000 0.500 0.000  1.37
Fe: 0.000 0.000 0.000  -0.33

---

Stability verdict: (B), ahead by 1524 meV/atom

---

(A)
# ZrCrFe

A relaxed ZrCrFe crystal (PBE-GGA, the Alexandria database).

Output
- density (g/cm³) = 7.378
- Fermi-level density of states (states/eV per cell) = 3.04
- volume (Å³ per cell) = 44.8

Unit cell a=5.685 b=5.685 c=2.907 alpha=75.19 beta=75.18 gamma=29.63
Site moments in Bohr magnetons follow the coordinates.
Atoms (fractional coordinates):
Fe: 0.364 0.364 0.636  1.26
Cr: 0.971 0.971 0.029  -0.87
Zr: 0.665 0.665 0.335  -0.02

---

(B)
# ZrCrFe

A relaxed ZrCrFe crystal (PBE-GGA, the Alexandria database).

Output
- density (g/cm³) = 7.619
- Fermi-level density of states (states/eV per cell) = 5.87
- volume (Å³ per cell) = 86.8

Unit cell a=5.188 b=4.970 c=4.970 alpha=57.44 beta=58.54 gamma=58.54
Atoms (fractional coordinates):
Cr: 0.500 0.500 0.000
Cr: 0.500 0.000 0.500
Fe: 0.000 0.000 0.000
Fe: 0.500 0.000 0.000
Zr: 0.873 0.377 0.377
Zr: 0.127 0.623 0.623

---

(C)
# ZrCrFe

A relaxed ZrCrFe crystal (PBE-GGA, the Alexandria database).

Output
- density (g/cm³) = 7.521
- Fermi-level density of states (states/eV per cell) = 10.30
- volume (Å³ per cell) = 175.8

Unit cell a=4.932 b=4.932 c=8.287 alpha=90.00 beta=90.00 gamma=119.31
Site moments in Bohr magnetons follow the coordinates.
Atoms (fractional coordinates):
Fe: 0.836 0.659 0.000  1.56
Fe: 0.341 0.164 0.000  1.56
Fe: 0.997 0.003 0.247  1.06
Fe: 0.997 0.003 0.753  1.06
Zr: 0.665 0.335 0.690  -0.10
Zr: 0.332 0.668 0.814  -0.16
Zr: 0.665 0.335 0.310  -0.10
Zr: 0.332 0.668 0.186  -0.16
Cr: 0.662 0.834 0.500  0.11
Cr: 0.166 0.338 0.500  0.11
Cr: 0.839 0.161 0.000  -0.54
Cr: 0.168 0.832 0.500  0.17

---

Stability verdict: (C), ahead by 9 meV/atom

---

(A)
# ZrCrFe

A relaxed ZrCrFe crystal (PBE-GGA, the Alexandria database).

Output
- density (g/cm³) = 7.170
- Fermi-level density of states (states/eV per cell) = 7.56
- volume (Å³ per cell) = 92.2

Unit cell a=3.700 b=3.942 c=6.587 alpha=90.00 beta=106.31 gamma=90.00
Atoms (fractional coordinates):
Fe: 0.749 0.750 0.497
Fe: 0.251 0.250 0.503
Cr: 0.359 0.750 0.718
Cr: 0.641 0.250 0.282
Zr: 0.911 0.250 0.821
Zr: 0.089 0.750 0.179

---

(B)
# ZrCrFe

A relaxed ZrCrFe crystal (PBE-GGA, the Alexandria database).

Output
- density (g/cm³) = 5.900
- Fermi-level density of states (states/eV per cell) = 3.84
- volume (Å³ per cell) = 56.0

Unit cell a=4.295 b=4.295 c=4.295 alpha=60.00 beta=60.00 gamma=60.00
Site moments in Bohr magnetons follow the coordinates.
Atoms (fractional coordinates):
Cr: 0.000 0.000 0.000  2.94
Zr: 0.750 0.750 0.750  -0.36
Fe: 0.500 0.500 0.500  1.87

---

Stability verdict: (A), ahead by 812 meV/atom

---

(A)
# ZrCrFe

A relaxed ZrCrFe crystal (PBE-GGA, the Alexandria database).

Output
- density (g/cm³) = 6.890
- Fermi-level density of states (states/eV per cell) = 2.13
- volume (Å³ per cell) = 48.0

Unit cell a=3.712 b=3.712 c=4.021 alpha=90.00 beta=90.00 gamma=120.00
Atoms (fractional coordinates):
Zr: 0.333 0.667 0.666
Cr: 0.000 0.000 0.154
Fe: 0.667 0.333 0.181

---

(B)
# ZrCrFe

A relaxed ZrCrFe crystal (PBE-GGA, the Alexandria database).

Output
- density (g/cm³) = 7.506
- Fermi-level density of states (states/eV per cell) = 12.17
- volume (Å³ per cell) = 176.2

Unit cell a=5.036 b=5.036 c=8.064 alpha=90.00 beta=90.00 gamma=120.54
Site moments in Bohr magnetons follow the coordinates.
Atoms (fractional coordinates):
Zr: 0.333 0.667 0.810  -0.05
Zr: 0.333 0.667 0.190  -0.05
Zr: 0.666 0.334 0.686  -0.19
Zr: 0.666 0.334 0.314  -0.19
Cr: 0.000 0.000 0.245  -0.12
Cr: 0.000 0.000 0.755  -0.12
Cr: 0.339 0.169 0.000  0.06
Cr: 0.831 0.661 0.000  0.06
Fe: 0.830 0.170 0.000  -0.19
Fe: 0.666 0.833 0.500  1.60
Fe: 0.167 0.334 0.500  1.60
Fe: 0.168 0.832 0.500  1.66

---

Stability verdict: (B), ahead by 236 meV/atom

---

(A)
# ZrCrFe3

A relaxed ZrCrFe3 crystal (PBE-GGA, the Alexandria database).

Output
- density (g/cm³) = 7.035
- Fermi-level density of states (states/eV per cell) = 5.63
- volume (Å³ per cell) = 73.3

Unit cell a=4.186 b=4.186 c=4.186 alpha=90.00 beta=90.00 gamma=90.00
Site moments in Bohr magnetons follow the coordinates.
Atoms (fractional coordinates):
Fe: 0.500 0.000 0.000  0.61
Fe: 0.000 0.000 0.500  0.90
Fe: 0.000 0.500 0.000  0.76
Zr: 0.500 0.500 0.500  -0.22
Cr: 0.000 0.000 0.000  -0.27

---

(B)
# ZrCrFe3

A relaxed ZrCrFe3 crystal (PBE-GGA, the Alexandria database).

Output
- density (g/cm³) = 5.418
- Fermi-level density of states (states/eV per cell) = 6.87
- volume (Å³ per cell) = 95.2

Unit cell a=4.567 b=4.567 c=4.567 alpha=90.00 beta=90.00 gamma=90.00
Site moments in Bohr magnetons follow the coordinates.
Atoms (fractional coordinates):
Fe: 0.000 0.500 0.000  -2.14
Fe: 0.500 0.000 0.000  -2.15
Fe: 0.000 0.000 0.500  -2.11
Zr: 0.000 0.000 0.000  0.43
Cr: 0.500 0.500 0.500  3.82

---

Stability verdict: (A), ahead by 988 meV/atom

---

(A)
# CrGaGe

A relaxed CrGaGe crystal (PBE-GGA, the Alexandria database).

Output
- density (g/cm³) = 7.290
- Fermi-level density of states (states/eV per cell) = 1.40
- volume (Å³ per cell) = 44.3

Unit cell a=2.741 b=4.319 c=4.319 alpha=120.00 beta=90.00 gamma=90.00
Atoms (fractional coordinates):
Ga: 0.667 0.667 0.333
Cr: 0.167 0.000 0.000
Ge: 0.167 0.333 0.667

---

(B)
# CrGaGe

A relaxed CrGaGe crystal (PBE-GGA, the Alexandria database).

Output
- density (g/cm³) = 6.827
- Fermi-level density of states (states/eV per cell) = 10.16
- volume (Å³ per cell) = 189.1

Unit cell a=5.665 b=5.705 c=6.500 alpha=90.00 beta=115.81 gamma=90.00
Site moments in Bohr magnetons follow the coordinates.
Atoms (fractional coordinates):
Ge: 0.861 0.500 0.221  -0.07
Ge: 0.639 0.000 0.779  -0.07
Ge: 0.361 0.000 0.221  -0.07
Ge: 0.139 0.500 0.779  -0.07
Cr: 0.750 0.250 0.500  1.93
Cr: 0.250 0.250 0.500  1.93
Cr: 0.750 0.750 0.500  1.93
Cr: 0.250 0.750 0.500  1.93
Ga: 0.356 0.500 0.211  -0.04
Ga: 0.644 0.500 0.789  -0.04
Ga: 0.856 0.000 0.211  -0.04
Ga: 0.144 0.000 0.789  -0.04

---

Stability verdict: (B), ahead by 357 meV/atom

---

(A)
# CrGaGe3

A relaxed CrGaGe3 crystal (PBE-GGA, the Alexandria database).

Output
- density (g/cm³) = 5.515
- Fermi-level density of states (states/eV per cell) = 4.24
- volume (Å³ per cell) = 102.3

Unit cell a=4.676 b=4.676 c=4.676 alpha=90.00 beta=90.00 gamma=90.00
Atoms (fractional coordinates):
Ge: 0.000 0.500 0.000
Ge: 0.000 0.000 0.500
Ge: 0.500 0.000 0.000
Cr: 0.000 0.000 0.000
Ga: 0.500 0.500 0.500

---

(B)
# CrGaGe3

A relaxed CrGaGe3 crystal (PBE-GGA, the Alexandria database).

Output
- density (g/cm³) = 5.038
- Fermi-level density of states (states/eV per cell) = 6.09
- volume (Å³ per cell) = 111.9

Unit cell a=4.819 b=4.819 c=4.819 alpha=90.00 beta=90.00 gamma=90.00
Site moments in Bohr magnetons follow the coordinates.
Atoms (fractional coordinates):
Cr: 0.500 0.500 0.500  0.44
Ge: 0.500 0.000 0.000  0.02
Ge: 0.000 0.000 0.500  -0.03
Ge: 0.000 0.500 0.000  0.01
Ga: 0.000 0.000 0.000  -0.01

---

Stability verdict: (A), ahead by 1097 meV/atom

---

(A)
# CrGaH3

A relaxed CrGaH3 crystal (PBE-GGA, the Alexandria database).

Output
- density (g/cm³) = 4.723
- Fermi-level density of states (states/eV per cell) = 1.67
- volume (Å³ per cell) = 43.9

Unit cell a=3.527 b=3.527 c=3.527 alpha=90.00 beta=90.00 gamma=90.00
Site moments in Bohr magnetons follow the coordinates.
Atoms (fractional coordinates):
H: 0.500 0.000 0.000  -0.03
H: 0.000 0.000 0.500  -0.03
H: 0.000 0.500 0.000  -0.03
Ga: 0.500 0.500 0.500  0.03
Cr: 0.000 0.000 0.000  2.86

---

(B)
# CrGaH3

A relaxed CrGaH3 crystal (PBE-GGA, the Alexandria database).

Output
- density (g/cm³) = 4.111
- Fermi-level density of states (states/eV per cell) = 1.48
- volume (Å³ per cell) = 50.4

Unit cell a=3.693 b=3.693 c=3.693 alpha=90.00 beta=90.00 gamma=90.00
Site moments in Bohr magnetons follow the coordinates.
Atoms (fractional coordinates):
Cr: 0.500 0.500 0.500  -4.14
H: 0.500 0.000 0.000  0.01
H: 0.000 0.000 0.500  -0.01
H: 0.000 0.500 0.000  -0.01
Ga: 0.000 0.000 0.000  0.00

---

Stability verdict: (A), ahead by 425 meV/atom

---

(A)
# Cr2Ga2H

A relaxed Cr2Ga2H crystal (PBE-GGA, the Alexandria database).

Output
- density (g/cm³) = 6.868
- Fermi-level density of states (states/eV per cell) = 8.18
- volume (Å³ per cell) = 118.2

Unit cell a=5.296 b=5.296 c=4.215 alpha=90.00 beta=90.00 gamma=90.00
Atoms (fractional coordinates):
H: 0.500 0.500 0.000
H: 0.000 0.000 0.000
Ga: 0.169 0.669 0.500
Ga: 0.669 0.831 0.500
Ga: 0.831 0.331 0.500
Ga: 0.331 0.169 0.500
Cr: 0.149 0.351 0.000
Cr: 0.351 0.851 0.000
Cr: 0.649 0.149 0.000
Cr: 0.851 0.649 0.000

---

(B)
# Cr2Ga2H

A relaxed Cr2Ga2H crystal (PBE-GGA, the Alexandria database).

Output
- density (g/cm³) = 5.721
- Fermi-level density of states (states/eV per cell) = 3.03
- volume (Å³ per cell) = 71.0

Unit cell a=3.491 b=3.491 c=6.325 alpha=73.98 beta=73.98 gamma=90.00
Atoms (fractional coordinates):
Cr: 0.421 0.421 0.158
Cr: 0.579 0.579 0.842
H: 0.000 0.000 0.000
Ga: 0.250 0.750 0.500
Ga: 0.750 0.250 0.500

---

Stability verdict: (A), ahead by 718 meV/atom